Record 1
The following is a DFT calculation (PBE) of crystalline CsTlC at its relaxed geometry.

Summary:
* energy relative to the elements: 1.082 eV per atom
* SG: No. 62

abc: 11.1165 6.6984 6.7741
angles: 90.00 90.00 90.00
Last column: nearest neighbours and their distance in Å.
Fractional coordinates of all 12 atoms:
Cs  0.6536  0.2500  0.9880  2 C 3.35-3.39
Cs  0.8464  0.7500  0.4880  2 C 3.35-3.39
Cs  0.3464  0.7500  0.0120  2 C 3.35-3.39
Cs  0.1536  0.2500  0.5120  2 C 3.35-3.39
Tl  0.0000  0.0000  0.0000  2 C 2.13
Tl  0.5000  0.5000  0.5000  2 C 2.13
Tl  0.5000  0.0000  0.5000  2 C 2.13
Tl  0.0000  0.5000  0.0000  2 C 2.13
C  0.4386  0.2500  0.3345  2 Tl 2.13
C  0.0614  0.7500  0.8345  2 Tl 2.13
C  0.5614  0.7500  0.6655  2 Tl 2.13
C  0.9386  0.2500  0.1655  2 Tl 2.13


Record 2
The following is a DFT calculation (PBE) of crystalline Tb2PmY6Ho at its relaxed geometry.

Summary:
* energy relative to the elements: 0.117 eV per atom
* SG: No. 15

abc: 9.6412 8.7962 8.7962
angles: 117.56 94.23 94.23
Last column: nearest neighbours and their distance in Å.
Fractional coordinates of all 20 atoms:
Tb  0.4535  0.8029  0.7007  6 Y 3.27-3.64, 2 Pm 3.39-3.41, 1 Ho 3.52
Tb  0.0465  0.2993  0.1971  6 Y 3.27-3.64, 2 Pm 3.39-3.41, 1 Ho 3.52
Tb  0.5465  0.1971  0.2993  6 Y 3.27-3.64, 2 Pm 3.39-3.41, 1 Ho 3.52
Tb  0.9535  0.7007  0.8029  6 Y 3.27-3.64, 2 Pm 3.39-3.41, 1 Ho 3.52
Pm  0.2500  0.9766  0.0234  4 Tb 3.39-3.41, 4 Y 3.57-3.67
Pm  0.7500  0.0234  0.9766  4 Tb 3.39-3.41, 4 Y 3.57-3.67
Y  0.0569  0.1222  0.7499  7 Y 3.42-3.74, 1 Tb 3.51, 1 Pm 3.67
Y  0.4431  0.2501  0.8778  7 Y 3.42-3.74, 1 Tb 3.51, 1 Pm 3.67
Y  0.9431  0.8778  0.2501  7 Y 3.42-3.74, 1 Tb 3.51, 1 Pm 3.67
Y  0.5569  0.7499  0.1222  7 Y 3.42-3.74, 1 Tb 3.51, 1 Pm 3.67
Y  0.3162  0.9840  0.4315  3 Y 3.25-3.61, 2 Tb 3.40-3.64, 1 Ho 3.46, 1 Pm 3.57
Y  0.1838  0.5685  0.0160  3 Y 3.25-3.61, 2 Tb 3.40-3.64, 1 Ho 3.46, 1 Pm 3.57
Y  0.6838  0.0160  0.5685  3 Y 3.25-3.61, 2 Tb 3.40-3.64, 1 Ho 3.46, 1 Pm 3.57
Y  0.8162  0.4315  0.9840  3 Y 3.25-3.61, 2 Tb 3.40-3.64, 1 Ho 3.46, 1 Pm 3.57
Y  0.1176  0.7065  0.4923  4 Y 3.25-3.53, 3 Tb 3.27-3.44, 2 Ho 3.41-3.54
Y  0.3824  0.5077  0.2935  4 Y 3.25-3.53, 3 Tb 3.27-3.44, 2 Ho 3.41-3.54
Y  0.8824  0.2935  0.5077  4 Y 3.25-3.53, 3 Tb 3.27-3.44, 2 Ho 3.41-3.54
Y  0.6176  0.4923  0.7065  4 Y 3.25-3.53, 3 Tb 3.27-3.44, 2 Ho 3.41-3.54
Ho  0.2500  0.4090  0.5910  6 Y 3.41-3.54, 2 Tb 3.52
Ho  0.7500  0.5910  0.4090  6 Y 3.41-3.54, 2 Tb 3.52


Record 3
The following is a DFT calculation (PBE) of crystalline Pm2Er2Tm7 at its relaxed geometry.

Summary:
* energy relative to the elements: 0.164 eV per atom
* SG: No. 12
* E above lowest polymorph: 5 meV/atom

abc: 5.9802 7.9711 7.9711
angles: 92.17 73.93 73.93
Last column: nearest neighbours and their distance in Å.
Fractional coordinates of all 11 atoms:
Pm  0.5000  0.2119  0.7881  6 Tm 3.24-3.45
Pm  0.5000  0.7881  0.2119  6 Tm 3.24-3.45
Er  0.8084  0.4055  0.4055  7 Tm 3.38-3.71, 2 Er 3.44-3.67, 2 Pm 3.73
Er  0.1916  0.5945  0.5945  7 Tm 3.38-3.71, 2 Er 3.44-3.67, 2 Pm 3.73
Tm  0.1745  0.0637  0.5907  5 Tm 3.19-3.55, 2 Pm 3.24-3.41
Tm  0.8255  0.4093  0.9363  5 Tm 3.19-3.55, 2 Pm 3.24-3.41
Tm  0.8255  0.9363  0.4093  5 Tm 3.19-3.55, 2 Pm 3.24-3.41
Tm  0.1745  0.5907  0.0637  5 Tm 3.19-3.55, 2 Pm 3.24-3.41
Tm  0.0000  0.0000  0.0000  6 Tm 3.24-3.41
Tm  0.5810  0.7648  0.7648  5 Tm 3.34-3.52, 3 Er 3.38-3.65, 2 Pm 3.45
Tm  0.4190  0.2352  0.2352  5 Tm 3.34-3.52, 3 Er 3.38-3.65, 2 Pm 3.45


> energy relative to the elements of number 2 (Tb2PmY6Ho)?

0.117 eV per atom